Density functional theory data (PBE) for crystalline CaReRh3 at its relaxed geometry.

Cell: 4.759 4.759 4.759 Å, 90.00 90.00 90.00°
Space group Pm-3m (No. 221)
Symmetry-distinct sites (fractional):
Ca1 0.000 0.000 0.000
Re1 0.500 0.500 0.500
Rh1 0.000 0.500 0.500

Calculated values
ΔE_f: 0.4668 eV/atom
Calculated volume: 21.6 A^3/atom
Raw total energy: -6.83 eV/atom
Total magnetization: 0.0000 μB per atom